A relaxed structure of Cs3H2Pt. Source: Alexandria, functional GGA-PBE.

The structure in POSCAR format:
```
Cs3H2Pt
1.0
-3.293 9.144 4.508
3.293 -9.144 4.508
3.293 9.144 -4.508
Cs H Pt
6 4 2
Cartesian
3.293 -2.574 2.254
0.000 0.000 2.254
3.293 2.574 2.254
0.000 6.570 2.254
0.000 0.000 6.762
0.000 11.717 2.254
4.736 0.852 0.000
1.443 8.292 0.000
1.850 0.852 4.508
-1.443 8.292 4.508
3.293 0.000 0.000
0.000 9.144 0.000
```

- crystal system = orthorhombic
- space-group type = Ibam
- Fermi-level density of states (states/eV/f.u.) = 1.783
- total DFT energy (no corrections) (eV for the cell shown) = -33.66

***

A relaxed structure of Sr2SbW. Source: Alexandria, functional GGA-PBE.

The structure in POSCAR format:
```
Sr2SbW
1.0
0.000 3.779 3.779
3.779 0.000 3.779
3.779 3.779 0.000
Sr Sb W
2 1 1
Cartesian
0.000 0.000 0.000
1.890 1.890 1.890
3.779 3.779 3.779
5.669 5.669 5.669
```

- crystal system = cubic
- space-group type = F-43m
- formation energy without anion corrections (meV per atom) = 683
- Fermi-level density of states (states/eV/f.u.) = 4.335
- total DFT energy (no corrections) (eV for the cell shown) = -17.71

***

A relaxed structure of Cs2AcErSe4. Source: Alexandria, functional GGA-PBE.

The structure in POSCAR format:
```
Cs2AcErSe4
1.0
7.697 0.000 0.000
0.000 4.438 0.000
-2.547 0.000 8.413
Cs Ac Er Se
2 1 1 4
Cartesian
0.000 0.000 0.000
3.848 2.219 0.000
-1.273 2.219 4.207
2.575 0.000 4.207
0.167 0.000 5.831
1.424 2.219 2.643
3.726 2.219 5.770
4.983 0.000 2.582
```

- crystal system = monoclinic
- space-group type = P2/m
- formation energy without anion corrections (meV per atom) = -1740
- Fermi-level density of states (states/eV/f.u.) = 0.000
- total DFT energy (no corrections) (eV for the cell shown) = -38.24

***

A relaxed structure of BeFeIr2. Source: Alexandria, functional GGA-PBE.

The structure in POSCAR format:
```
BeFeIr2
1.0
-1.399 2.061 4.185
1.399 -2.061 4.185
1.399 2.061 -4.185
Be Fe Ir
1 1 2
Cartesian
0.000 0.000 0.000
1.399 0.000 1.865
0.000 0.000 4.128
0.000 2.061 2.277
```

- crystal system = orthorhombic
- space-group type = Imm2
- energy of formation (eV/f.u.) = -0.7
- Fermi-level density of states (states/eV/f.u.) = 3.887
- total DFT energy (no corrections) (eV for the cell shown) = -30.60

***

A relaxed structure of BaMnB3. Source: Alexandria, functional GGA-PBE.

The structure in POSCAR format:
```
BaMnB3
1.0
4.127 0.000 0.000
0.000 4.127 0.000
0.000 0.000 4.127
Ba Mn B
1 1 3
Cartesian
0.000 0.000 0.000
2.064 2.064 2.064
0.000 2.064 2.064
2.064 0.000 2.064
2.064 2.064 0.000
```

- crystal system = cubic
- space-group type = Pm-3m
- energy of formation (eV/f.u.) = 2.3
- Fermi-level density of states (states/eV/f.u.) = 1.347
- total DFT energy (no corrections) (eV for the cell shown) = -28.86

***

A relaxed structure of Er5Sc2Bi4. Source: Alexandria, functional GGA-PBE.

The structure in POSCAR format:
```
Er5Sc2Bi4
1.0
10.645 -2.124 0.000
10.645 2.124 0.000
-1.867 0.000 7.323
Er Sc Bi
5 2 4
Cartesian
0.000 0.000 0.000
5.878 0.000 3.994
7.594 0.000 0.324
11.830 0.000 7.000
13.546 0.000 3.329
0.428 0.000 4.499
18.996 0.000 2.824
3.235 0.000 5.621
8.765 0.000 5.103
10.659 0.000 2.220
16.189 0.000 1.702
```

- crystal system = monoclinic
- space-group type = C2/m
- energy of formation (eV/f.u.) = -4.4
- Fermi-level density of states (states/eV/f.u.) = 7.599
- total DFT energy (no corrections) (eV for the cell shown) = -55.39

***

A relaxed structure of Sc4In2Tc. Source: Alexandria, functional GGA-PBE.

The structure in POSCAR format:
```
Sc4In2Tc
1.0
-2.343 2.343 7.108
2.343 -2.343 7.108
2.343 2.343 -7.108
Sc In Tc
4 2 1
Cartesian
2.343 0.000 1.508
2.343 0.000 5.599
0.000 2.343 1.508
0.000 2.343 5.599
0.000 0.000 3.560
0.000 0.000 10.655
0.000 0.000 0.000
```

- crystal system = tetragonal
- space-group type = I4/mmm
- energy of formation (eV/f.u.) = -1.9
- Fermi-level density of states (states/eV/f.u.) = 4.976
- total DFT energy (no corrections) (eV for the cell shown) = -43.08

***

A relaxed structure of LiHfScRu. Source: Alexandria, functional GGA-PBE.

The structure in POSCAR format:
```
LiHfScRu
1.0
0.000 3.261 3.261
3.261 0.000 3.261
3.261 3.261 0.000
Li Hf Sc Ru
1 1 1 1
Cartesian
0.000 0.000 0.000
4.891 4.891 4.891
1.630 1.630 1.630
3.261 3.261 3.261
```

- crystal system = cubic
- space-group type = F-43m
- energy of formation (eV/f.u.) = -1.5
- Fermi-level density of states (states/eV/f.u.) = 2.785
- total DFT energy (no corrections) (eV for the cell shown) = -28.93

***

A relaxed structure of CaPrTl4. Source: Alexandria, functional GGA-PBE.

The structure in POSCAR format:
```
CaPrTl4
1.0
5.101 0.000 0.000
2.470 4.485 0.000
0.100 0.080 7.822
Ca Pr Tl
1 1 4
Cartesian
0.000 0.000 0.000
0.050 0.040 3.911
2.589 1.550 5.361
2.542 1.503 1.476
5.128 3.062 6.346
5.082 3.015 2.461
```

- crystal system = triclinic
- space-group type = P-1
- energy of formation (eV/f.u.) = -1.7
- Fermi-level density of states (states/eV/f.u.) = 4.587
- total DFT energy (no corrections) (eV for the cell shown) = -17.90

***

A relaxed structure of CeGaHgPt. Source: Alexandria, functional GGA-PBE.

The structure in POSCAR format:
```
CeGaHgPt
1.0
0.000 3.492 3.492
3.492 0.000 3.492
3.492 3.492 0.000
Ce Ga Hg Pt
1 1 1 1
Cartesian
0.000 0.000 0.000
3.492 3.492 3.492
5.238 5.238 5.238
1.746 1.746 1.746
```

- crystal system = cubic
- space-group type = F-43m
- energy of formation (eV/f.u.) = -2.1
- Fermi-level density of states (states/eV/f.u.) = 4.925
- total DFT energy (no corrections) (eV for the cell shown) = -17.42

***

A relaxed structure of K3BrO4. Source: Alexandria, functional GGA-PBE.

The structure in POSCAR format:
```
K3BrO4
1.0
3.839 0.000 0.000
-0.001 5.251 0.000
-1.873 -1.840 8.936
K Br O
3 1 4
Cartesian
0.000 0.000 0.000
0.024 2.829 2.896
1.940 0.582 6.040
1.919 2.626 0.000
0.018 2.662 5.613
0.016 3.693 6.492
1.949 -0.282 2.444
1.946 0.749 3.323
```

- crystal system = triclinic
- space-group type = P-1
- formation energy without anion corrections (meV per atom) = -1011
- Fermi-level density of states (states/eV/f.u.) = 10.224
- total DFT energy (no corrections) (eV for the cell shown) = -32.89

***

A relaxed structure of RbScSbI2. Source: Alexandria, functional GGA-PBE.

The structure in POSCAR format:
```
RbScSbI2
1.0
5.929 0.000 0.000
0.000 5.929 0.000
0.000 0.000 5.667
Rb Sc Sb I
1 1 1 2
Cartesian
0.000 0.000 0.000
2.964 2.964 2.834
2.964 2.964 0.000
0.000 2.964 2.834
2.964 0.000 2.834
```

- crystal system = tetragonal
- space-group type = P4/mmm
- formation energy without anion corrections (meV per atom) = -801
- Fermi-level density of states (states/eV/f.u.) = 4.481
- total DFT energy (no corrections) (eV for the cell shown) = -18.52